DFT (PBE) results for an optimized crystal structure of ScCuNi2H.

Relative energy among the computed polymorphs: 70.4 meV per atom

abc: 3.829 3.829 3.801
angles: 90.00 90.00 90.00
Element x y z (fractional)
Sc 0.000 0.000 0.000
Cu 0.500 0.500 0.000
Ni 0.000 0.500 0.500
Ni 0.500 0.000 0.500
H 0.500 0.500 0.500


DFT (PBE) results for an optimized crystal structure of Sc2CuNi6H.

abc: 5.032 5.038 6.366
angles: 66.72 66.73 60.12
Element x y z (fractional)
Sc 0.218 0.219 0.347
Sc 0.782 0.781 0.653
Cu 0.500 0.500 0.500
Ni 0.226 0.714 0.830
Ni 0.227 0.225 0.825
Ni 0.282 0.776 0.172
Ni 0.718 0.224 0.828
Ni 0.773 0.775 0.175
Ni 0.774 0.286 0.170
H 0.000 0.000 0.000


Let's list total energy in order: -5.25 -5.75 eV/atom.